<1>
The following is a DFT calculation (GGA-PBEsol) of a relaxed structure of HgTeI2O.

a b c (Å): 5.892 5.892 3.998
angles (deg): 90.00 90.00 90.00
Space group P4/mmm (No. 123)
Inequivalent atoms, fractional coordinates:
Hg (0.000, 0.000, 0.000) x1
Te (0.500, 0.500, 0.500) x1
I (0.000, 0.500, 0.000) x2
O (0.000, 0.000, 0.500) x1

<2>
The following is a DFT calculation (GGA-PBEsol) of a relaxed structure of HgTeI2O.

a b c (Å): 5.751 5.751 5.628
angles (deg): 90.00 90.00 90.00
Space group P4/mmm (No. 123)
Inequivalent atoms, fractional coordinates:
Hg (0.000, 0.000, 0.000) x1
Te (0.000, 0.000, 0.500) x1
I (0.000, 0.500, 0.000) x2
O (0.500, 0.500, 0.500) x1

Least stable of them? <2>.

<1>
The following is a DFT calculation (GGA-PBEsol) of a relaxed structure of HgS2I.

a b c (Å): 5.3276 5.3276 13.4613
angles (deg): 90.00 90.00 120.00
Space group R-3m (No. 166, hexagonal axes)
Inequivalent atoms, fractional coordinates:
Hg (0.0000, 0.0000, 0.0000) x3
S (0.0000, 0.0000, 0.1719) x6
I (0.0000, 0.0000, 0.5000) x3

<2>
The following is a DFT calculation (GGA-PBEsol) of a relaxed structure of HgS2I.

a b c (Å): 3.9550 3.9550 23.5501
angles (deg): 90.00 90.00 120.00
Space group R-3m (No. 166, hexagonal axes)
Inequivalent atoms, fractional coordinates:
Hg (0.0000, 0.0000, 0.0000) x3
S (0.0000, 0.0000, 0.3914) x6
I (0.0000, 0.0000, 0.5000) x3

Least stable of them? <1>.

<1>
The following is a DFT calculation (GGA-PBEsol) of a relaxed structure of SrHgSbI2.

a b c (Å): 5.794 5.794 5.590
angles (deg): 90.00 90.00 90.00
Space group P4/mmm (No. 123)
Inequivalent atoms, fractional coordinates:
Sr (0.000, 0.000, 0.000) x1
Hg (0.500, 0.500, 0.500) x1
Sb (0.500, 0.500, 0.000) x1
I (0.000, 0.500, 0.500) x2

<2>
The following is a DFT calculation (GGA-PBEsol) of a relaxed structure of SrHgSbI2.

a b c (Å): 6.198 6.198 6.578
angles (deg): 90.00 90.00 90.00
Space group P4/mmm (No. 123)
Inequivalent atoms, fractional coordinates:
Sr (0.000, 0.000, 0.000) x1
Hg (0.500, 0.500, 0.500) x1
Sb (0.000, 0.000, 0.500) x1
I (0.000, 0.500, 0.000) x2

Least stable of them? <2>.

<1>
The following is a DFT calculation (GGA-PBEsol) of a relaxed structure of In5Hg.

a b c (Å): 11.950 3.447 7.665
angles (deg): 90.00 108.10 90.00
Space group Cm (No. 8)
Inequivalent atoms, fractional coordinates:
In (0.000, 0.000, 0.000) x2
In (0.019, 0.000, 0.567) x2
In (0.165, 0.500, 0.348) x2
In (0.199, 0.500, 0.890) x2
In (0.359, 0.000, 0.228) x2
Hg (0.330, 0.000, 0.673) x2

<2>
The following is a DFT calculation (GGA-PBEsol) of a relaxed structure of In5Hg.

a b c (Å): 3.347 3.347 13.241
angles (deg): 90.00 90.00 90.00
Space group P4/mmm (No. 123)
Inequivalent atoms, fractional coordinates:
In (0.000, 0.000, 0.000) x1
In (0.000, 0.000, 0.342) x2
In (0.500, 0.500, 0.170) x2
Hg (0.500, 0.500, 0.500) x1

Least stable of them? <1>.

<1>
The following is a DFT calculation (GGA-PBEsol) of a relaxed structure of In3Hg2.

a b c (Å): 4.6442 4.6442 6.9862
angles (deg): 90.00 90.00 120.00
Space group P-3m1 (No. 164)
Inequivalent atoms, fractional coordinates:
In (0.0000, 0.0000, 0.0000) x1
In (0.3333, 0.6667, 0.3628) x2
Hg (0.3333, 0.6667, 0.8074) x2

<2>
The following is a DFT calculation (GGA-PBEsol) of a relaxed structure of In3Hg2.

a b c (Å): 3.6056 3.6056 32.7721
angles (deg): 90.00 90.00 120.00
Space group R-3m (No. 166, hexagonal axes)
Inequivalent atoms, fractional coordinates:
In (0.0000, 0.0000, 0.0000) x3
In (0.0000, 0.0000, 0.2022) x6
Hg (0.0000, 0.0000, 0.3991) x6

Least stable of them? <1>.

<1>
The following is a DFT calculation (GGA-PBEsol) of a relaxed structure of InHgIr2.

a b c (Å): 4.054 4.054 8.139
angles (deg): 90.00 90.00 90.00
Space group I-4m2 (No. 119)
Inequivalent atoms, fractional coordinates:
In (0.000, 0.000, 0.000) x2
Hg (0.000, 0.500, 0.750) x2
Ir (0.000, 0.000, 0.500) x2
Ir (0.000, 0.500, 0.250) x2

<2>
The following is a DFT calculation (GGA-PBEsol) of a relaxed structure of InHgIr2.

a b c (Å): 2.879 2.879 8.424
angles (deg): 90.00 90.00 90.00
Space group P4mm (No. 99)
Inequivalent atoms, fractional coordinates:
In (0.000, 0.000, 0.000) x1
Hg (0.500, 0.500, 0.692) x1
Ir (0.000, 0.000, 0.443) x1
Ir (0.500, 0.500, 0.239) x1

Least stable of them? <1>.

<1>
The following is a DFT calculation (GGA-PBEsol) of a relaxed structure of K2InHg.

a b c (Å): 5.017 5.017 10.556
angles (deg): 90.00 90.00 90.00
Space group I4/mmm (No. 139)
Inequivalent atoms, fractional coordinates:
K (0.000, 0.500, 0.250) x4
In (0.000, 0.000, 0.000) x2
Hg (0.000, 0.000, 0.500) x2

<2>
The following is a DFT calculation (GGA-PBEsol) of a relaxed structure of K2InHg.

a b c (Å): 4.119 4.785 6.899
angles (deg): 90.00 90.00 90.00
Space group Pmmm (No. 47)
Inequivalent atoms, fractional coordinates:
K (0.000, 0.000, 0.246) x2
In (0.500, 0.500, 0.500) x1
Hg (0.500, 0.500, 0.000) x1

Least stable of them? <1>.

<1>
The following is a DFT calculation (GGA-PBEsol) of a relaxed structure of K2InHg.

a b c (Å): 3.974 3.974 9.685
angles (deg): 90.00 90.00 90.00
Space group P4mm (No. 99)
Inequivalent atoms, fractional coordinates:
K (0.000, 0.000, 0.000) x1
K (0.500, 0.500, 0.397) x1
In (0.500, 0.500, 0.755) x1
Hg (0.000, 0.000, 0.632) x1

<2>
The following is a DFT calculation (GGA-PBEsol) of a relaxed structure of K2InHg.

a b c (Å): 4.995 4.907 12.561
angles (deg): 90.00 90.00 90.00
Space group Amm2 (No. 38)
Inequivalent atoms, fractional coordinates:
K (0.000, 0.000, 0.000) x2
K (0.500, 0.000, 0.309) x2
In (0.500, 0.000, 0.603) x2
Hg (0.000, 0.000, 0.706) x2

<3>
The following is a DFT calculation (GGA-PBEsol) of a relaxed structure of K2InHg.

a b c (Å): 3.7650 3.7650 33.9731
angles (deg): 90.00 90.00 120.00
Space group R-3m (No. 166, hexagonal axes)
Inequivalent atoms, fractional coordinates:
K (0.0000, 0.0000, 0.2472) x6
In (0.0000, 0.0000, 0.0000) x3
Hg (0.0000, 0.0000, 0.5000) x3

Least stable of them? <3>.